## ReWSF2 (PBE with a Hubbard U)

Data for crystalline ReWSF2 at its relaxed geometry.

Cell and atoms, written as CIF:
```
data_ReWSF2
_cell_length_a 3.811
_cell_length_b 5.459
_cell_length_c 3.811
_cell_angle_alpha 90.00
_cell_angle_beta 90.00
_cell_angle_gamma 90.00
_symmetry_space_group_name_H-M 'P 1'
_symmetry_Int_Tables_number 1
loop_
_symmetry_equiv_pos_as_xyz
'x,y,z'
loop_
_atom_site_label
_atom_site_type_symbol
_atom_site_fract_x
_atom_site_fract_y
_atom_site_fract_z
_atom_site_occupancy
Re1 Re 0.500 0.500 0.500 1
S1 S 0.000 0.000 0.000 1
W1 W 0.000 0.500 0.000 1
F1 F 0.000 0.000 0.500 1
F2 F 0.500 0.000 0.000 1
```

Results
Total DFT energy (no corrections) = -4.666 eV/atom
Calculated volume = 15.86 A^3/atom
Fermi-level density of states = 0.506 states/eV/atom
SG = No. 123
Size of the total moment = 0.27 μB per atom